! LiTiCrO4 GGA+U relaxed; values from VASP
&SYSTEM
  ibrav = 0, nat = 14, ntyp = 4
/
ATOMIC_SPECIES
Li 6.94 Li.upf
Ti 47.87 Ti.upf
O 16.00 O.upf
Cr 52.00 Cr.upf
CELL_PARAMETERS angstrom
5.9600 0.0152 0.0030
-2.9439 5.1822 -0.0030
2.9731 1.7485 4.8606
ATOMIC_POSITIONS crystal
Li 0.2500 0.3719 0.8781
Ti 0.5000 0.0000 0.0000
Ti 0.0000 0.0000 0.5000
O 0.5290 0.7867 0.7423
O 0.5232 0.2335 0.7433
Cr 0.0000 0.5000 0.5000
O 0.4768 0.7665 0.2567
Cr 0.5000 0.0000 0.5000
O 0.4710 0.2133 0.2577
O 0.9768 0.2335 0.2897
O 0.0290 0.7713 0.2577
O 0.9710 0.2287 0.7423
O 0.0232 0.7665 0.7103
Li 0.7500 0.6281 0.1219
! Crystal system: orthorhombic
! DFT total energy, eV per atom: -7.799
! ΔE to the lowest computed polymorph, meV/atom: 0.0
! DOS at the Fermi energy, states/eV/f.u.: 0.0